# KLi2Cr2O7

A geometry-optimized KLi2Cr2O7 structure (GGA+U, Alexandria).

Crystal system: trigonal
DOS(E_F), states/eV/cell: 6.73
Raw total energy, Ry/atom: -0.4496

a = 5.668 Å, b = 5.668 Å, c = 8.633 Å
α = 70.84°, β = 70.84°, γ = 60.00°
Element x y z (fractional)
1 O 0.156 0.951 0.288
2 O 0.049 0.844 0.712
3 O 0.951 0.605 0.288
4 O 0.000 0.000 0.000
5 O 0.395 0.049 0.712
6 O 0.844 0.395 0.712
7 O 0.605 0.156 0.288
8 Li 0.243 0.243 0.271
9 Li 0.757 0.757 0.729
10 Cr 0.074 0.074 0.779
11 Cr 0.926 0.926 0.221
12 K 0.500 0.500 0.500